Density functional theory data (PBE) for Ba8AsPt3I4 after structural relaxation.

Unit cell a=9.4158 b=9.4158 c=25.7603 alpha=90.00 beta=90.00 gamma=120.00
Space group R-3m (No. 166, hexagonal axes)
One atom of each set of equivalent atoms:
Ba (0.0000, 0.0000, 0.2360) (multiplicity 6)
Ba (0.0055, 0.5027, 0.7674) (multiplicity 18)
As (0.0000, 0.0000, 0.5000) (multiplicity 3)
Pt (0.0000, 0.5000, 0.5000) (multiplicity 9)
I (0.0000, 0.0000, 0.0000) (multiplicity 3)
I (0.0000, 0.5000, 0.0000) (multiplicity 9)

Summary:
- Crystal system: trigonal
- Formation energy from raw total energies: -1.21 eV/atom
- Magnetization: 0.58 μB/f.u.